Entry 1:
4
Lattice="3.648 0.000 0.000 0.000 3.648 0.000 0.000 0.000 8.273" Properties=species:S:1:pos:R:3 comment="Pr2AlHg PBE-GGA relaxed" relative_energy_mev_per_atom=0 e_form_ev_per_atom=-0.41 pbc="T T T"
Pr 0.000 0.000 1.979
Pr 0.000 0.000 6.295
Hg 1.824 1.824 4.137
Al 1.824 1.824 0.000



Entry 2:
4
Lattice="5.421 0.000 0.000 2.711 4.695 0.000 2.711 1.565 4.426" Properties=species:S:1:pos:R:3 comment="Pr2AlHg PBE-GGA relaxed" relative_energy_mev_per_atom=37 e_form_ev_per_atom=-0.37 pbc="T T T"
Hg 5.421 3.130 2.213
Al 0.000 0.000 0.000
Pr 2.711 1.565 1.107
Pr 8.132 4.695 3.320



Entry 3:
4
Lattice="3.611 0.000 0.000 0.000 3.611 0.000 0.000 0.000 7.391" Properties=species:S:1:pos:R:3 comment="PrAlHg2 PBE-GGA relaxed" e_form_ev_per_atom=-0.22 pbc="T T T"
Hg 0.000 0.000 5.809
Hg 0.000 0.000 1.582
Al 1.805 1.805 0.000
Pr 1.805 1.805 3.696



Entry 4:
12
Lattice="-2.527 -2.875 -3.142 3.710 -3.280 0.017 -6.270 -7.032 11.475" Properties=species:S:1:pos:R:3 comment="Pr9Al2Hg PBE-GGA relaxed" e_form_ev_per_atom=-0.17 pbc="T T T"
Pr -3.583 -7.759 6.077
Pr -6.462 -7.268 7.943
Pr 0.592 -3.077 -1.562
Pr 0.784 -2.842 1.970
Pr -1.504 -5.428 2.273
Pr -4.398 -4.954 4.166
Pr -2.335 -2.639 0.390
Pr -1.280 -5.156 5.746
Pr -3.344 -7.470 9.523
Hg 0.000 0.000 0.000
Al -4.181 -4.690 7.652
Al -2.089 -2.343 3.823



Entry 5:
12
Lattice="-1.101 4.273 4.168 0.353 -3.336 5.058 8.261 1.095 -4.132" Properties=species:S:1:pos:R:3 comment="Pr2Al3Hg PBE-GGA relaxed" relative_energy_mev_per_atom=5 e_form_ev_per_atom=-0.46 pbc="T T T"
Al 6.779 1.068 -1.944
Al 1.114 0.487 2.346
Al 2.584 0.512 0.158
Al 0.733 0.964 7.038
Al 4.928 1.519 4.936
Al 6.398 1.544 2.748
Pr -0.014 -1.415 4.833
Pr 4.120 -0.886 2.770
Pr -0.734 2.352 4.392
Pr 3.393 2.918 2.324
Hg 5.253 1.041 0.320
Hg 2.260 0.991 4.774



Entry 6:
3
Lattice="4.897 0.000 0.000 2.449 4.241 0.000 2.449 1.414 3.999" Properties=species:S:1:pos:R:3 comment="PrAlHg PBE-GGA relaxed" e_form_ev_per_atom=-0.32 pbc="T T T"
Hg 2.449 1.414 1.000
Al 0.000 0.000 0.000
Pr 4.897 2.827 1.999



Entry 7:
7
Lattice="-0.531 4.921 -2.247 -5.393 -0.658 -0.166 2.398 0.828 7.821" Properties=species:S:1:pos:R:3 comment="Pr4AlHg2 PBE-GGA relaxed" e_form_ev_per_atom=-0.30 pbc="T T T"
Pr -0.697 4.721 3.928
Pr -0.399 3.160 0.438
Pr -3.128 1.932 4.969
Pr -2.830 0.370 1.479
Hg -3.249 3.635 2.154
Hg -0.278 1.456 3.254
Al 0.000 0.000 0.000



Entry 8:
20
Lattice="5.384 0.000 0.000 0.000 9.174 -2.868 0.000 0.230 11.951" Properties=species:S:1:pos:R:3 comment="Pr6AlHg3 PBE-GGA relaxed" e_form_ev_per_atom=-0.33 pbc="T T T"
Pr 1.346 1.202 10.173
Pr 4.038 3.217 2.897
Pr 4.038 8.201 -1.091
Pr 1.346 2.334 5.281
Pr 1.346 7.907 1.512
Pr 4.038 7.070 3.802
Pr 1.346 1.177 1.504
Pr 4.038 8.227 7.579
Pr 4.038 4.993 9.307
Pr 1.346 4.411 -0.225
Pr 4.038 1.496 7.571
Pr 1.346 6.186 6.185
Al 4.038 0.521 4.519
Al 1.346 8.883 4.564
Hg 4.038 4.497 6.081
Hg 1.346 7.299 9.363
Hg 1.346 4.907 3.002
Hg 1.346 3.669 8.221
Hg 4.038 2.104 -0.280
Hg 4.038 5.734 0.862



Entry 9:
14
Lattice="4.675 0.000 0.704 2.283 5.608 0.711 0.248 0.434 14.221" Properties=species:S:1:pos:R:3 comment="Pr3Al3Hg PBE-GGA relaxed" e_form_ev_per_atom=-0.40 pbc="T T T"
Pr 4.451 4.158 2.191
Pr 3.367 1.864 9.390
Pr 3.840 4.177 6.246
Pr 1.886 1.738 3.351
Pr 2.756 1.883 13.444
Pr 5.321 4.303 12.285
Al 0.728 1.034 11.037
Al 5.836 4.181 8.863
Al 2.677 5.149 13.968
Al 1.370 1.860 6.772
Al 6.479 5.008 4.599
Al 4.530 0.893 1.667
Hg 3.354 5.163 9.474
Hg 3.853 0.879 6.162



Entry 10:
18
Lattice="6.744 0.000 0.000 0.000 9.530 0.000 0.000 -4.765 8.254" Properties=species:S:1:pos:R:3 comment="Pr5AlHg3 PBE-GGA relaxed" e_form_ev_per_atom=-0.35 pbc="T T T"
Al 0.000 0.000 0.000
Al 3.372 0.000 0.000
Pr 1.686 6.856 0.000
Pr 5.058 8.193 2.315
Pr 5.058 2.674 0.000
Pr 1.686 -3.428 5.939
Pr 0.000 4.765 2.753
Pr 5.058 3.428 5.939
Pr 3.372 4.765 2.753
Pr 0.000 0.000 5.502
Pr 1.686 1.337 2.315
Pr 3.372 0.000 5.502
Hg 5.058 -2.964 5.135
Hg 5.058 5.929 0.000
Hg 1.686 7.730 3.119
Hg 5.058 1.801 3.119
Hg 1.686 2.964 5.135
Hg 1.686 3.602 0.000



Entry 11:
7
Lattice="5.098 0.000 1.593 2.300 4.550 1.593 -0.038 -0.023 9.077" Properties=species:S:1:pos:R:3 comment="Pr4Al2Hg PBE-GGA relaxed" e_form_ev_per_atom=-0.25 pbc="T T T"
Al 5.499 3.382 9.264
Al 1.861 1.145 2.998
Pr 2.794 1.718 8.968
Pr 6.425 3.951 6.302
Pr 0.936 0.575 5.961
Pr 4.566 2.808 3.295
Hg 0.000 0.000 0.000



Entry 12:
10
Lattice="-1.598 0.869 -5.140 3.724 -3.617 -1.770 -7.463 -6.839 -1.728" Properties=species:S:1:pos:R:3 comment="Pr3AlHg PBE-GGA relaxed" relative_energy_mev_per_atom=0 e_form_ev_per_atom=-0.29 pbc="T T T"
Pr -3.763 -3.874 -4.252
Pr 1.500 -3.277 -2.896
Pr -5.069 -7.834 -7.407
Pr -6.275 -6.615 -3.934
Pr -1.012 -6.019 -2.578
Pr -1.304 -1.190 -4.562
Hg -0.567 -4.227 -5.305
Hg -5.806 -4.797 -6.664
Al -3.140 -7.035 -4.980
Al -1.635 -2.857 -1.850



no.,M_tot (μB/cell),calculated volume (A^3/atom),DFT total energy (eV per atom)
1,0.00,27.53,-3.811
2,0.00,28.16,-3.774
3,0.00,24.09,-2.503
4,0.00,30.34,-4.405
5,0.00,24.34,-3.975
6,0.00,27.68,-3.263
7,0.00,30.68,-3.649
8,0.00,29.69,-3.660
9,0.00,26.50,-4.094
10,0.00,29.47,-3.517
11,0.00,30.13,-4.090
12,0.00,29.61,-3.963